A plane-wave DFT calculation with GGA-PBE was carried out for a relaxed Ti6TlH crystal.

## Properties
Its total energy is -6.638 eV/atom.

Cell: 5.174 5.174 5.174 Å, 102.34 102.34 102.42°
Positions (direct):
1 Ti 0.778 0.778 0.393
2 Ti 0.393 0.778 0.778
3 Ti 0.778 0.393 0.778
4 Ti 0.222 0.222 0.607
5 Ti 0.222 0.607 0.222
6 Ti 0.607 0.222 0.222
7 Tl 0.000 0.000 0.000
8 H 0.500 0.500 0.500